No. 1
# TcWAu2, optimized geometry, DFT PBE-GGA
data_TcWAu2
_cell_length_a 3.472
_cell_length_b 3.472
_cell_length_c 5.523
_cell_angle_alpha 90.00
_cell_angle_beta 90.00
_cell_angle_gamma 90.00
_symmetry_space_group_name_H-M 'P 1'
_symmetry_Int_Tables_number 1
loop_
_symmetry_equiv_pos_as_xyz
'x,y,z'
loop_
_atom_site_label
_atom_site_type_symbol
_atom_site_fract_x
_atom_site_fract_y
_atom_site_fract_z
_atom_site_occupancy
Tc1 Tc 0.000 0.000 0.000 1
W1 W 0.000 0.000 0.500 1
Au1 Au 0.500 0.500 0.249 1
Au2 Au 0.500 0.500 0.751 1
# Density of states at the Fermi level, states/eV per cell: 3.78
# Total moment, μB per formula unit: 0.00
# Formation energy from the elements, eV per atom: 0.6164
# ΔE to the lowest computed polymorph, kcal/mol of atoms: 8.33
# Total DFT energy (no corrections), eV/cell: -27.41



No. 2
# LiIn2Pd2, optimized geometry, DFT PBE-GGA
data_LiIn2Pd2
_cell_length_a 7.011
_cell_length_b 7.011
_cell_length_c 7.011
_cell_angle_alpha 146.24
_cell_angle_beta 146.24
_cell_angle_gamma 48.49
_symmetry_space_group_name_H-M 'P 1'
_symmetry_Int_Tables_number 1
loop_
_symmetry_equiv_pos_as_xyz
'x,y,z'
loop_
_atom_site_label
_atom_site_type_symbol
_atom_site_fract_x
_atom_site_fract_y
_atom_site_fract_z
_atom_site_occupancy
Li1 Li 0.000 0.000 0.000 1
In1 In 0.388 0.388 0.000 1
In2 In 0.612 0.612 0.000 1
Pd1 Pd 0.250 0.750 0.500 1
Pd2 Pd 0.750 0.250 0.500 1
# Density of states at the Fermi level, states/eV per cell: 1.95
# Total moment, μB per formula unit: 0.00
# Formation energy from the elements, eV per atom: -0.2940
# ΔE to the lowest computed polymorph, kcal/mol of atoms: 4.91
# Total DFT energy (no corrections), eV/cell: -19.25



No. 3
# MnFe2Ni, optimized geometry, DFT PBE-GGA
data_MnFe2Ni
_cell_length_a 4.735
_cell_length_b 4.735
_cell_length_c 2.468
_cell_angle_alpha 99.92
_cell_angle_beta 99.92
_cell_angle_gamma 117.28
_symmetry_space_group_name_H-M 'P 1'
_symmetry_Int_Tables_number 1
loop_
_symmetry_equiv_pos_as_xyz
'x,y,z'
loop_
_atom_site_label
_atom_site_type_symbol
_atom_site_fract_x
_atom_site_fract_y
_atom_site_fract_z
_atom_site_occupancy
Mn1 Mn 0.000 0.000 0.000 1
Fe1 Fe 0.000 0.500 0.500 1
Fe2 Fe 0.500 0.000 0.500 1
Ni1 Ni 0.500 0.500 0.000 1
# Density of states at the Fermi level, states/eV per cell: 5.34
# Total moment, μB per formula unit: 7.93
# Formation energy from the elements, eV per atom: 0.1043
# Total DFT energy (no corrections), eV/cell: -31.46



No. 4
# Rb2TcPH, optimized geometry, DFT PBE-GGA
data_Rb2TcPH
_cell_length_a 6.183
_cell_length_b 6.183
_cell_length_c 3.576
_cell_angle_alpha 90.00
_cell_angle_beta 90.00
_cell_angle_gamma 90.00
_symmetry_space_group_name_H-M 'P 1'
_symmetry_Int_Tables_number 1
loop_
_symmetry_equiv_pos_as_xyz
'x,y,z'
loop_
_atom_site_label
_atom_site_type_symbol
_atom_site_fract_x
_atom_site_fract_y
_atom_site_fract_z
_atom_site_occupancy
Rb1 Rb 0.000 0.500 0.000 1
Rb2 Rb 0.500 0.000 0.000 1
Tc1 Tc 0.000 0.000 0.500 1
P1 P 0.500 0.500 0.500 1
H1 H 0.000 0.000 0.000 1
# Density of states at the Fermi level, states/eV per cell: 3.47
# Total moment, μB per formula unit: 4.09
# Total DFT energy (no corrections), eV/cell: -16.77



No. 5
# La4PmPrSm2, optimized geometry, DFT PBE-GGA
data_La4PmPrSm2
_cell_length_a 6.414
_cell_length_b 3.706
_cell_length_c 12.194
_cell_angle_alpha 90.00
_cell_angle_beta 100.13
_cell_angle_gamma 90.00
_symmetry_space_group_name_H-M 'P 1'
_symmetry_Int_Tables_number 1
loop_
_symmetry_equiv_pos_as_xyz
'x,y,z'
loop_
_atom_site_label
_atom_site_type_symbol
_atom_site_fract_x
_atom_site_fract_y
_atom_site_fract_z
_atom_site_occupancy
La1 La 0.248 0.000 0.249 1
La2 La 0.249 0.500 0.751 1
La3 La 0.751 0.500 0.249 1
La4 La 0.752 0.000 0.751 1
Pm1 Pm 0.500 0.000 0.000 1
Pr1 Pr 0.500 0.500 0.500 1
Sm1 Sm 0.000 0.000 0.500 1
Sm2 Sm 0.000 0.500 0.000 1
# Density of states at the Fermi level, states/eV per cell: 13.64
# Total moment, μB per formula unit: 0.00
# Formation energy from the elements, eV per atom: 0.0119
# Total DFT energy (no corrections), eV/cell: -38.58



No. 6
# LiTi4Ga5, optimized geometry, DFT PBE-GGA
data_LiTi4Ga5
_cell_length_a 2.849
_cell_length_b 2.849
_cell_length_c 19.169
_cell_angle_alpha 90.00
_cell_angle_beta 90.00
_cell_angle_gamma 90.00
_symmetry_space_group_name_H-M 'P 1'
_symmetry_Int_Tables_number 1
loop_
_symmetry_equiv_pos_as_xyz
'x,y,z'
loop_
_atom_site_label
_atom_site_type_symbol
_atom_site_fract_x
_atom_site_fract_y
_atom_site_fract_z
_atom_site_occupancy
Li1 Li 0.000 0.000 0.000 1
Ti1 Ti 0.000 0.000 0.194 1
Ti2 Ti 0.000 0.000 0.398 1
Ti3 Ti 0.000 0.000 0.602 1
Ti4 Ti 0.000 0.000 0.806 1
Ga1 Ga 0.500 0.500 0.094 1
Ga2 Ga 0.500 0.500 0.296 1
Ga3 Ga 0.500 0.500 0.500 1
Ga4 Ga 0.500 0.500 0.704 1
Ga5 Ga 0.500 0.500 0.906 1
# Density of states at the Fermi level, states/eV per cell: 6.49
# Total moment, μB per formula unit: 0.00
# Formation energy from the elements, eV per atom: -0.4262
# Total DFT energy (no corrections), eV/cell: -52.89



No. 7
# Tm2Co3NiGe4, optimized geometry, DFT PBE-GGA
data_Tm2Co3NiGe4
_cell_length_a 4.005
_cell_length_b 4.005
_cell_length_c 9.758
_cell_angle_alpha 90.00
_cell_angle_beta 90.00
_cell_angle_gamma 90.00
_symmetry_space_group_name_H-M 'P 1'
_symmetry_Int_Tables_number 1
loop_
_symmetry_equiv_pos_as_xyz
'x,y,z'
loop_
_atom_site_label
_atom_site_type_symbol
_atom_site_fract_x
_atom_site_fract_y
_atom_site_fract_z
_atom_site_occupancy
Tm1 Tm 0.000 0.500 0.246 1
Tm2 Tm 0.500 0.000 0.754 1
Co1 Co 0.000 0.500 0.870 1
Co2 Co 0.500 0.000 0.130 1
Co3 Co 0.500 0.500 0.500 1
Ni1 Ni 0.000 0.000 0.500 1
Ge1 Ge 0.000 0.000 0.000 1
Ge2 Ge 0.000 0.500 0.634 1
Ge3 Ge 0.500 0.000 0.366 1
Ge4 Ge 0.500 0.500 0.000 1
# Density of states at the Fermi level, states/eV per cell: 8.08
# Total moment, μB per formula unit: 0.58
# Formation energy from the elements, eV per atom: -0.5753
# Total DFT energy (no corrections), eV/cell: -60.26



- total moment of number 3 (MnFe2Ni)?
  7.93 μB per formula unit